Crystalline Li2SiNiO4 at its relaxed geometry, computed with PBE+U.

Cell lengths 4.9362, 5.4909, 6.2482 Å; angles 90.00, 89.74, 90.00 degrees
Last column: nearest neighbours and their distance in Å.
Sites, in units of the cell vectors:
1 Li 0.4978 0.8231 0.7500  4 O 1.94-2.05
2 Li 0.9978 0.1769 0.2500  4 O 1.94-2.05
3 Li 0.9967 0.6500 0.5027  4 O 1.97-2.06
4 Li 0.4967 0.3500 0.0027  4 O 1.97-2.06
5 Si 0.0064 0.6725 0.0019  4 O 1.65-1.66
6 Si 0.5064 0.3275 0.5019  4 O 1.65-1.66
7 Ni 0.9942 0.1642 0.7620  4 O 1.97-2.00
8 Ni 0.4942 0.8358 0.2620  4 O 1.97-2.00
9 O 0.9021 0.3870 0.9999  1 Si 1.65
10 O 0.4021 0.6130 0.4999  1 Si 1.65
11 O 0.9015 0.8117 0.7820  1 Si 1.66
12 O 0.4015 0.1883 0.2820  1 Si 1.66
13 O 0.3958 0.1834 0.7190  1 Si 1.66
14 O 0.8958 0.8166 0.2190  1 Si 1.66
15 O 0.8408 0.3195 0.5063  1 Si 1.65
16 O 0.3408 0.6805 0.0063  1 Si 1.65

Summary:
Final energy: -6.106 eV per atom
E above lowest polymorph: 0.005 eV per atom
SG: Pc, No. 7